Compound: Zr5Ag
Source: the Alexandria database
Functional: PBEsol
Structure: relaxed

Geometry as extended XYZ:
```
12
Lattice="4.4029 0.0000 0.0000 0.0000 13.3589 0.0000 0.0000 0.0000 4.2807" Properties=species:S:1:pos:R:3 pbc="T T T"
Zr 0.0000 0.0000 0.0000
Zr 0.0000 2.2192 2.1404
Zr 0.0000 4.4997 0.0000
Zr 0.0000 8.8592 0.0000
Zr 0.0000 11.1397 2.1404
Zr 2.2015 2.1798 0.0000
Zr 2.2015 4.4603 2.1404
Zr 2.2015 6.6795 0.0000
Zr 2.2015 8.8986 2.1404
Zr 2.2015 11.1791 0.0000
Ag 0.0000 6.6795 2.1404
Ag 2.2015 0.0000 2.1404
```

Output
DFT total energy	-8.11	eV per atom
magnetization	0.00	μB per cell
E_form	0.0178	eV/atom
mass density	7.4	g/cm3
energy relative to the lowest polymorph listed for this composition	57	meV per atom